An optimized crystal structure of BaHf2As2, computed with PBE.

Geometry as CIF:
```
data_BaHf2As2
_chemical_formula_sum 'Ba2 Hf4 As4'
_symmetry_space_group_name_H-M 'I 4/m m m'
_symmetry_Int_Tables_number 139
_symmetry_space_group_name_Hall '-I 4 2'
_cell_length_a 4.330
_cell_length_b 4.330
_cell_length_c 13.902
_cell_angle_alpha 90.00
_cell_angle_beta 90.00
_cell_angle_gamma 90.00
loop_
_atom_site_label
_atom_site_fract_x
_atom_site_fract_y
_atom_site_fract_z
Ba1 0.000 0.000 0.000
Hf1 0.000 0.500 0.250
As1 0.000 0.000 0.370
```

ΔE_f in eV per atom: -0.820
Magnetization in μB/f.u.: 0.0
Relative energy among the computed polymorphs in eV/f.u.: 0.00

=====

An optimized crystal structure of BaHfAs3, computed with PBE.

Geometry as CIF:
```
data_BaHfAs3
_chemical_formula_sum 'Ba1 Hf1 As3'
_symmetry_space_group_name_H-M 'P m -3 m'
_symmetry_Int_Tables_number 221
_symmetry_space_group_name_Hall '-P 4 2 3'
_cell_length_a 5.226
_cell_length_b 5.226
_cell_length_c 5.226
_cell_angle_alpha 90.00
_cell_angle_beta 90.00
_cell_angle_gamma 90.00
loop_
_atom_site_label
_atom_site_fract_x
_atom_site_fract_y
_atom_site_fract_z
Ba1 0.000 0.000 0.000
Hf1 0.500 0.500 0.500
As1 0.000 0.500 0.500
```

ΔE_f in eV per atom: -0.667
Magnetization in μB/f.u.: 0.0
Relative energy among the computed polymorphs in eV/f.u.: 0.00

=====

An optimized crystal structure of Ba2HfAs3, computed with PBE.

Geometry as CIF:
```
data_Ba2HfAs3
_chemical_formula_sum 'Ba8 Hf4 As12'
_symmetry_space_group_name_H-M 'C m c m'
_symmetry_Int_Tables_number 63
_symmetry_space_group_name_Hall '-C 2c 2'
_cell_length_a 12.978
_cell_length_b 9.355
_cell_length_c 6.065
_cell_angle_alpha 90.00
_cell_angle_beta 90.00
_cell_angle_gamma 90.00
loop_
_atom_site_label
_atom_site_fract_x
_atom_site_fract_y
_atom_site_fract_z
Ba1 0.149 0.167 0.250
Hf1 0.000 0.402 0.750
As1 0.000 0.130 0.750
As2 0.156 0.500 0.000
```

ΔE_f in eV per atom: -1.063
Magnetization in μB/f.u.: 0.0

=====

Among the records above, which one has the lowest ΔE_f? Ba2HfAs3

=====

What is the formula in the first record? BaHf2As2